A plane-wave DFT calculation with PBE with a Hubbard U was carried out for Cs2TlV2F7 after structural relaxation.

Values from the calculation:
Energy = -5.24 eV per atom

The structure in CIF format:
```
data_Cs2TlV2F7
_chemical_formula_sum 'Cs4 Tl2 V4 F14'
_cell_length_a 6.104
_cell_length_b 6.105
_cell_length_c 12.169
_cell_angle_alpha 90.00
_cell_angle_beta 104.42
_cell_angle_gamma 90.00
_space_group_name_H-M_alt 'C 1 2/m 1'
_space_group_IT_number 12
loop_
_space_group_symop_operation_xyz
'x,y,z'
'-x,-y,-z'
'-x,y,-z'
'x,-y,z'
'x+1/2,y+1/2,z'
'-x+1/2,-y+1/2,-z'
'-x+1/2,y+1/2,-z'
'x+1/2,-y+1/2,z'
loop_
_atom_site_label
_atom_site_fract_x
_atom_site_fract_y
_atom_site_fract_z
_atom_site_occupancy
Cs1 0.184 0.000 0.370 1
Tl1 0.000 0.000 0.000 1
V1 0.090 0.500 0.181 1
F1 0.000 0.500 0.000 1
F2 0.160 0.250 0.819 1
F3 0.180 0.500 0.362 1
```